# 1
The following is a DFT calculation (GGA-PBE) of a relaxed YPAu2 crystal.

Results
ρ (g/cm3): 9.7
Formation energy from the elements (meV/atom): -548

Cell lengths 3.925, 3.925, 5.707 Å; angles 90.00, 90.00, 90.00 degrees
Sites, in units of the cell vectors:
1 Y 0.000 0.000 0.000
2 P 0.500 0.500 0.985
3 Au 0.000 0.000 0.502
4 Au 0.500 0.500 0.442

***

# 2
The following is a DFT calculation (GGA-PBE) of a relaxed YPAu2 crystal.

Results
ρ (g/cm3): 10.2
Formation energy from the elements (meV/atom): -657

Cell lengths 5.791, 5.791, 3.948 Å; angles 92.59, 92.59, 39.45 degrees
Sites, in units of the cell vectors:
1 Y 0.000 0.000 0.000
2 P 0.500 0.500 0.500
3 Au 0.279 0.279 0.250
4 Au 0.721 0.721 0.750

***

# 3
The following is a DFT calculation (GGA-PBE) of a relaxed YPAu crystal.

Results
ρ (g/cm3): 8.0
Formation energy from the elements (meV/atom): -929

Cell lengths 4.111, 4.111, 9.015 Å; angles 90.00, 90.00, 120.00 degrees
Sites, in units of the cell vectors:
1 Y 0.000 0.000 0.000
2 Y 0.333 0.667 0.644
3 P 0.333 0.667 0.189
4 P 0.667 0.333 0.822
5 Au 0.000 0.000 0.449
6 Au 0.667 0.333 0.246